1.
Computed, not measured: a relaxed structure of PmScTeP at the PBE level of DFT.

Unit cell a=4.0244 b=4.0246 c=7.4683 alpha=90.00 beta=105.63 gamma=120.00
Closest atoms and distances in Å follow each position.
Element x y z (fractional)
Pm 0.4956 0.1457 0.6565  3 P 2.87, 3 Te 3.21
Sc 0.1079 0.9519 0.0751  3 P 2.65-2.66
Te 0.9538 0.3749 0.3439  3 Sc 3.01, 3 Pm 3.21
P 0.3206 0.5583 0.8941  3 Sc 2.65-2.66, 3 Pm 2.87

Output
Magnetic moment = 0.00 μB/f.u.
Raw formation energy = -1.456 eV/atom
ρ = 5.81 g cm⁻³
Density of states at the Fermi level = 0.730 states/eV per atom

---

2.
Computed, not measured: a relaxed structure of Rb2ZnCdHg6 at the PBE level of DFT.

Unit cell a=7.9095 b=7.9094 c=7.9173 alpha=59.85 beta=59.85 gamma=89.96
Closest atoms and distances in Å follow each position.
Element x y z (fractional)
Rb 0.2500 0.7500 0.5000  12 Hg 3.94-3.96
Rb 0.7500 0.2500 0.5000  12 Hg 3.94-3.96
Zn 0.5000 0.5000 0.0000  6 Hg 2.70-2.71
Cd 0.0000 0.0000 0.0000  6 Hg 2.87-2.89
Hg 0.2580 0.7420 0.0000  1 Zn 2.71, 1 Cd 2.88
Hg 0.7419 0.7419 0.9999  1 Zn 2.71, 1 Cd 2.89
Hg 0.2580 0.2580 0.4843  1 Zn 2.70, 1 Cd 2.87
Hg 0.7420 0.2580 0.0000  1 Zn 2.71, 1 Cd 2.88
Hg 0.2581 0.2581 0.0001  1 Zn 2.71, 1 Cd 2.89
Hg 0.7420 0.7420 0.5157  1 Zn 2.70, 1 Cd 2.87

Output
Magnetic moment = 0.00 μB/f.u.
Formation enthalpy at 0 K = -0.11 eV per atom
ρ = 7.39 g cm⁻³
Density of states at the Fermi level = 0.453 states/eV per atom

---

3.
Computed, not measured: a relaxed structure of CaErSeS at the PBE level of DFT.

Unit cell a=3.9307 b=3.9305 c=7.3976 alpha=90.00 beta=105.40 gamma=119.99
Closest atoms and distances in Å follow each position.
Element x y z (fractional)
Ca 0.9670 0.3815 0.3635  3 Se 2.90, 3 S 2.96
Er 0.3024 0.5491 0.8668  3 S 2.80-2.81, 3 Se 2.83
Se 0.1290 0.9625 0.1065  3 Er 2.83, 3 Ca 2.90
S 0.4795 0.1377 0.6328  3 Er 2.80-2.81, 3 Ca 2.96

Output
Magnetic moment = 0.00 μB/f.u.
Raw formation energy = -1.829 eV/atom
ρ = 5.61 g cm⁻³
Density of states at the Fermi level = 0.545 states/eV per atom

---

4.
Computed, not measured: a relaxed structure of ReHgW2 at the PBE level of DFT.

Unit cell a=4.0065 b=4.0070 c=4.1049 alpha=90.00 beta=90.00 gamma=90.00
Closest atoms and distances in Å follow each position.
Element x y z (fractional)
Hg 0.5000 0.0000 0.5000  4 Re 2.83, 8 W 2.87
Re 0.0000 0.5000 0.5000  4 Hg 2.83, 8 W 2.87
W 0.0000 0.0000 0.0000  4 W 2.83, 4 Hg 2.87, 4 Re 2.87
W 0.5000 0.5000 0.0000  4 W 2.83, 4 Re 2.87, 4 Hg 2.87

Output
Magnetic moment = 0.00 μB/f.u.
Formation enthalpy at 0 K = 0.64 eV per atom
ρ = 19.01 g cm⁻³
Density of states at the Fermi level = 0.518 states/eV per atom

---

5.
Computed, not measured: a relaxed structure of ScSbRu2 at the PBE level of DFT.

Unit cell a=3.2494 b=3.2493 c=6.3496 alpha=90.00 beta=90.00 gamma=90.00
Closest atoms and distances in Å follow each position.
Element x y z (fractional)
Ru 0.0000 0.0000 0.0068  4 Sb 2.77, 4 Sc 2.82, 1 Ru 3.09
Ru 0.0000 0.0000 0.4932  4 Sb 2.77, 4 Sc 2.82, 1 Ru 3.09
Sb 0.5000 0.5000 0.2500  8 Ru 2.77
Sc 0.5000 0.5000 0.7500  8 Ru 2.82

Output
Magnetic moment = 0.00 μB/f.u.
Raw formation energy = -0.402 eV/atom
ρ = 9.14 g cm⁻³
Density of states at the Fermi level = 0.312 states/eV per atom

---

6.
Computed, not measured: a relaxed structure of YPtF2 at the PBE level of DFT.

Unit cell a=4.3847 b=4.3847 c=4.3847 alpha=60.00 beta=60.00 gamma=60.00
Closest atoms and distances in Å follow each position.
Element x y z (fractional)
Y 0.0000 0.0000 0.0000  8 F 2.69
Pt 0.5000 0.5000 0.5000  8 F 2.69
F 0.2500 0.2500 0.2500  4 Pt 2.69, 4 Y 2.69
F 0.7500 0.7500 0.7500  4 Pt 2.69, 4 Y 2.69

Output
Magnetic moment = 0.00 μB/f.u.
Raw formation energy = -1.714 eV/atom
ρ = 8.97 g cm⁻³
Density of states at the Fermi level = 0.945 states/eV per atom

---

7.
Computed, not measured: a relaxed structure of ZnSiOs2C at the PBE level of DFT.

Unit cell a=4.4105 b=4.3792 c=4.4105 alpha=90.00 beta=90.00 gamma=90.00
Closest atoms and distances in Å follow each position.
Element x y z (fractional)
C 0.5000 0.5000 0.5000  8 Os 3.11, 4 Zn 3.12
Zn 0.0000 0.5000 0.0000  2 Si 2.19
Os 0.0000 0.0000 0.5000  2 Si 2.21
Os 0.5000 0.0000 0.0000  2 Si 2.21
Si 0.0000 0.0000 0.0000  2 Zn 2.19, 4 Os 2.21

Output
Magnetic moment = 0.00 μB/f.u.
Raw formation energy = 2.328 eV/atom
ρ = 9.47 g cm⁻³
Density of states at the Fermi level = 0.987 states/eV per atom

---

8.
Computed, not measured: a relaxed structure of Ag3PdAu2 at the PBE level of DFT.

Unit cell a=2.7750 b=5.1880 c=8.5348 alpha=107.69 beta=99.36 gamma=90.00
Closest atoms and distances in Å follow each position.
Element x y z (fractional)
Ag 0.0000 0.5000 0.0000  2 Pd 2.59, 2 Ag 2.77, 4 Au 2.84
Ag 0.8291 0.8291 0.6583  1 Pd 2.74, 2 Ag 2.77, 5 Au 2.79-2.95
Ag 0.1709 0.1709 0.3417  1 Pd 2.74, 2 Ag 2.77, 5 Au 2.79-2.95
Pd 0.0000 0.0000 0.0000  4 Ag 2.59-2.74, 2 Pd 2.77
Au 0.6548 0.6548 0.3096  2 Au 2.77, 7 Ag 2.79-2.95
Au 0.3452 0.3452 0.6904  2 Au 2.77, 7 Ag 2.79-2.95

Output
Magnetic moment = 0.00 μB/f.u.
Formation enthalpy at 0 K = 0.20 eV per atom
ρ = 11.86 g cm⁻³
Density of states at the Fermi level = 0.374 states/eV per atom

---

9.
Computed, not measured: a relaxed structure of Hf5Zr2Sn3 at the PBE level of DFT.

Unit cell a=5.7992 b=9.6783 c=9.6783 alpha=97.65 beta=72.57 gamma=72.57
Closest atoms and distances in Å follow each position.
Element x y z (fractional)
Hf 0.4204 0.2423 0.9170  3 Sn 2.82-2.92, 1 Zr 3.07
Hf 0.9204 0.9170 0.2423  3 Sn 2.82-2.92, 1 Zr 3.07
Hf 0.5796 0.7577 0.0830  3 Sn 2.82-2.92, 1 Zr 3.07
Hf 0.0796 0.0830 0.7577  3 Sn 2.82-2.92, 1 Zr 3.07
Hf 0.4928 0.7572 0.7572  3 Sn 2.76-2.91, 3 Hf 2.90-2.92
Hf 0.5072 0.2428 0.2428  3 Sn 2.76-2.91, 3 Hf 2.90-2.92
Hf 0.7500 0.5000 0.5000  4 Hf 2.90-2.92, 4 Sn 3.12
Hf 0.2500 0.5000 0.5000  4 Hf 2.90-2.92, 4 Sn 3.12
Hf 0.0072 0.2428 0.2428  3 Sn 2.76-2.91, 3 Hf 2.90-2.92
Hf 0.9928 0.7572 0.7572  3 Sn 2.76-2.91, 3 Hf 2.90-2.92
Zr 0.1302 0.5745 0.1651  4 Sn 3.01-3.28, 2 Hf 3.07-3.35
Zr 0.6302 0.1651 0.5745  4 Sn 3.01-3.28, 2 Hf 3.07-3.35
Zr 0.8698 0.4255 0.8349  4 Sn 3.01-3.28, 2 Hf 3.07-3.35
Zr 0.3698 0.8349 0.4255  4 Sn 3.01-3.28, 2 Hf 3.07-3.35
Sn 0.3522 0.4967 0.7990  5 Hf 2.82-3.12, 2 Zr 3.01
Sn 0.8522 0.7990 0.4967  5 Hf 2.82-3.12, 2 Zr 3.01
Sn 0.6478 0.5033 0.2010  5 Hf 2.82-3.12, 2 Zr 3.01
Sn 0.1478 0.2010 0.5033  5 Hf 2.82-3.12, 2 Zr 3.01
Sn 0.2500 0.0000 0.0000  6 Hf 2.76-2.92, 2 Sn 2.90
Sn 0.7500 0.0000 0.0000  6 Hf 2.76-2.92, 2 Sn 2.90

Output
Magnetic moment = 0.00 μB/f.u.
Formation enthalpy at 0 K = 0.03 eV per atom
ρ = 9.91 g cm⁻³
Density of states at the Fermi level = 0.884 states/eV per atom

---

10.
Computed, not measured: a relaxed structure of AgBiPtAu at the PBE level of DFT.

Unit cell a=4.8318 b=4.8318 c=4.8318 alpha=60.00 beta=60.00 gamma=60.00
Closest atoms and distances in Å follow each position.
Element x y z (fractional)
Ag 0.5000 0.5000 0.5000  4 Au 2.96, 4 Pt 2.96
Au 0.2500 0.2500 0.2500  4 Bi 2.96, 4 Ag 2.96
Bi 0.0000 0.0000 0.0000  4 Pt 2.96, 4 Au 2.96
Pt 0.7500 0.7500 0.7500  4 Bi 2.96, 4 Ag 2.96

Output
Magnetic moment = 0.00 μB/f.u.
Formation enthalpy at 0 K = -0.01 eV per atom
ρ = 14.76 g cm⁻³
Density of states at the Fermi level = 0.323 states/eV per atom

---

11.
Computed, not measured: a relaxed structure of SmInTc at the PBE level of DFT.

Unit cell a=4.1812 b=5.3534 c=7.0373 alpha=102.73 beta=107.28 gamma=90.00
Closest atoms and distances in Å follow each position.
Element x y z (fractional)
Tc 0.7764 0.1086 0.5529  2 Tc 2.42
Tc 0.2236 0.8914 0.4471  2 Tc 2.42
In 0.5710 0.7881 0.1420  3 Tc 2.89, 1 In 3.23
In 0.4290 0.2119 0.8580  3 Tc 2.89, 1 In 3.23
Sm 0.8719 0.6793 0.7438  2 Tc 2.88-3.03
Sm 0.1281 0.3207 0.2562  2 Tc 2.88-3.03

Output
Magnetic moment = 0.00 μB/f.u.
Formation enthalpy at 0 K = -0.16 eV per atom
ρ = 8.24 g cm⁻³
Density of states at the Fermi level = 0.736 states/eV per atom

---

12.
Computed, not measured: a relaxed structure of AsPRh2 at the PBE level of DFT.

Unit cell a=4.3263 b=4.3263 c=4.3263 alpha=60.00 beta=60.00 gamma=60.00
Closest atoms and distances in Å follow each position.
Element x y z (fractional)
P 0.0000 0.0000 0.0000  8 Rh 2.65
As 0.5000 0.5000 0.5000  8 Rh 2.65
Rh 0.2500 0.2500 0.2500  4 As 2.65, 4 P 2.65
Rh 0.7500 0.7500 0.7500  4 As 2.65, 4 P 2.65

Output
Magnetic moment = 0.00 μB/f.u.
Formation enthalpy at 0 K = -0.14 eV per atom
ρ = 9.04 g cm⁻³
Density of states at the Fermi level = 0.665 states/eV per atom